DFT (PBE-GGA) results for a relaxed structure of Sc2FeNi.

a b c (Å): 5.6217 5.6217 5.6217
angles (deg): 104.77 104.77 119.35
With the nearest neighbours (Å) after each atom.
Positions (direct):
Sc1 0.1177 0.6250 0.9927  2 Ni 2.49, 2 Fe 2.56
Sc2 0.3750 0.3677 0.4927  2 Ni 2.49, 2 Fe 2.56
Sc3 0.6323 0.1250 0.0073  2 Ni 2.49, 2 Fe 2.56
Sc4 0.8750 0.8823 0.5073  2 Ni 2.49, 2 Fe 2.56
Fe1 0.2500 0.7500 0.5000  4 Sc 2.56, 2 Ni 2.84
Fe2 0.5000 0.5000 0.0000  4 Sc 2.56, 2 Ni 2.84
Ni1 0.0000 0.0000 0.0000  4 Sc 2.49
Ni2 0.7500 0.2500 0.5000  4 Sc 2.49

Properties
Energy of formation from the pure elements, eV/atom: 0.143

---

DFT (PBE-GGA) results for a relaxed structure of ScFeNi.

a b c (Å): 5.1707 5.1707 5.1707
angles (deg): 145.51 145.51 49.57
With the nearest neighbours (Å) after each atom.
Positions (direct):
Sc1 0.0000 0.0000 0.0000  5 Ni 2.76-2.99, 5 Fe 2.79-2.94, 4 Sc 3.07
Fe1 0.6866 0.6866 0.0000  4 Ni 2.50, 4 Sc 2.79
Ni1 0.3186 0.3186 0.0000  4 Fe 2.50, 4 Sc 2.76

Properties
Energy of formation from the pure elements, eV/atom: -0.104

---

DFT (PBE-GGA) results for a relaxed structure of ScFeNi.

a b c (Å): 3.9589 3.9589 3.4343
angles (deg): 90.00 90.00 120.00
With the nearest neighbours (Å) after each atom.
Positions (direct):
Sc1 0.0000 0.0000 0.0000  6 Ni 2.86, 6 Fe 2.86
Fe1 0.6667 0.3333 0.5000  3 Ni 2.29
Ni1 0.3333 0.6667 0.5000  3 Fe 2.29

Properties
Energy of formation from the pure elements, eV/atom: -0.094

---

DFT (PBE-GGA) results for a relaxed structure of Sc2FeNi.

a b c (Å): 8.7703 8.7703 8.7703
angles (deg): 19.73 19.73 19.73
With the nearest neighbours (Å) after each atom.
Positions (direct):
Sc1 0.0932 0.0932 0.0932  1 Ni 2.40, 3 Fe 2.57
Sc2 0.9068 0.9068 0.9068  1 Ni 2.40, 3 Fe 2.57
Fe1 0.5000 0.5000 0.5000  6 Sc 2.57
Ni1 0.0000 0.0000 0.0000  2 Sc 2.40

Properties
Energy of formation from the pure elements, eV/atom: 0.325